Y3HoAl2: optimized geometry, PBE.

Output
For the excess energy over the best structure of this formula in the dataset, the calculation gives 0.0 meV/atom.

Cell lengths 5.1062, 9.4772, 6.5633 Å; angles 90.00, 90.00, 90.00 degrees
Space group Pmc2_1 (No. 26)
Unique sites:
Y (0.0000, 0.0413, 0.0000)
Y (0.0000, 0.3242, 0.3402)
Y (0.5000, 0.1780, 0.7139)
Ho (0.5000, 0.4585, 0.0545)
Al (0.0000, 0.3533, 0.8204)
Al (0.5000, 0.1466, 0.2349)

Y2HoAl: optimized geometry, PBE.

Output
For the excess energy over the best structure of this formula in the dataset, the calculation gives 0.0 meV/atom.

Cell lengths 6.6989, 5.0936, 6.7921 Å; angles 90.00, 105.67, 90.00 degrees
Space group P2_1/m (No. 11)
Unique sites:
Y (0.1221, 0.2500, 0.2353)
Y (0.3076, 0.7500, 0.5805)
Ho (0.3941, 0.7500, 0.0959)
Al (0.1307, 0.2500, 0.7631)

Y2HoAl: optimized geometry, PBE.

Output
For the excess energy over the best structure of this formula in the dataset, the calculation gives 10.3 meV/atom.

Cell lengths 3.5182, 3.5182, 9.0268 Å; angles 90.00, 90.00, 90.00 degrees
Space group P4/mmm (No. 123)
Unique sites:
Y (0.0000, 0.0000, 0.2136)
Ho (0.5000, 0.5000, 0.5000)
Al (0.5000, 0.5000, 0.0000)

Y6Ho12Al: optimized geometry, PBE.

Output
The value obtained for the final energy is -286.32 eV for the cell shown.

Cell lengths 12.1481, 12.1481, 13.9767 Å; angles 90.00, 90.00, 120.00 degrees
Space group R-3 (No. 148, hexagonal axes)
Unique sites:
Y (0.0350, 0.5945, 0.2087)
Ho (0.0473, 0.8667, 0.3101)
Ho (0.0699, 0.1987, 0.9059)
Al (0.0000, 0.0000, 0.5000)

Y4Ho3Al: optimized geometry, PBE.

Output
The value obtained for the final energy is -44.01 eV for the cell shown.

Cell lengths 3.5379, 3.5379, 19.0453 Å; angles 90.00, 90.00, 90.00 degrees
Space group P4/mmm (No. 123)
Unique sites:
Y (0.0000, 0.0000, 0.1003)
Y (0.0000, 0.0000, 0.3671)
Ho (0.5000, 0.5000, 0.2358)
Ho (0.5000, 0.5000, 0.5000)
Al (0.5000, 0.5000, 0.0000)

YHoAl2: optimized geometry, PBE.

Output
For the excess energy over the best structure of this formula in the dataset, the calculation gives 2.6 meV/atom.

Cell lengths 7.1975, 7.1975, 7.1975 Å; angles 90.00, 90.00, 90.00 degrees
Space group Fm-3m (No. 225)
Unique sites:
Y (0.0000, 0.0000, 0.0000)
Ho (0.0000, 0.0000, 0.5000)
Al (0.2500, 0.2500, 0.2500)

Y4Ho5Al: optimized geometry, PBE.

Output
The value obtained for the final energy is -53.09 eV for the cell shown.

Cell lengths 3.5397, 3.5397, 24.0186 Å; angles 90.00, 90.00, 90.00 degrees
Space group P4/mmm (No. 123)
Unique sites:
Y (0.0000, 0.0000, 0.1050)
Y (0.0000, 0.0000, 0.3148)
Ho (0.5000, 0.5000, 0.0000)
Ho (0.5000, 0.5000, 0.2104)
Ho (0.5000, 0.5000, 0.4222)
Al (0.0000, 0.0000, 0.5000)

Y2Ho3Al4: optimized geometry, PBE.

Output
The value obtained for the final energy is -174.50 eV for the cell shown.

Cell lengths 6.1696, 19.6074, 7.5789 Å; angles 90.00, 90.00, 90.00 degrees
Space group Cmce (No. 64)
Unique sites:
Y (0.0000, 0.0901, 0.1024)
Ho (0.0000, 0.0000, 0.5000)
Ho (0.2500, 0.2480, 0.7500)
Al (0.0000, 0.1507, 0.4884)
Al (0.2500, 0.0872, 0.7500)